The following is a DFT calculation (PBE) of LaFeAs2Se after structural relaxation.

The value obtained for the energy above the lowest structure with this stoichiometry is 0 meV/atom. The value obtained for the formation energy without anion corrections is -12.7 kcal/mol of atoms. Its density of states at the Fermi level is 4.80 states/eV/cell.

The space group is P4/mmm (No. 123) and the conventional cell measures 4.589, 4.589 and 5.215 Å, with angles of 90.00, 90.00 and 90.00 degrees. The inequivalent atoms are La at (0.000, 0.000, 0.000), Fe at (0.500, 0.500, 0.500), As at (0.000, 0.500, 0.500) and Se at (0.500, 0.500, 0.000).


The following is a DFT calculation (PBE) of Ca2Sm2O5 after structural relaxation.

The value obtained for the formation energy without anion corrections is -71.6 kcal/mol of atoms. Its density of states at the Fermi level is 0.00 states/eV/cell.

The space group is Cmce (No. 64) and the conventional cell measures 11.632, 6.553 and 6.612 Å, with angles of 90.00, 90.00 and 90.00 degrees. The inequivalent atoms are Ca at (0.207, 0.000, 0.000), Sm at (0.000, 0.166, 0.333), O at (0.000, 0.000, 0.000) and O at (0.132, 0.155, 0.648).


The following is a DFT calculation (PBE) of Ac3ErTl3Te8 after structural relaxation.

The value obtained for the formation energy without anion corrections is -25.3 kcal/mol of atoms. Its density of states at the Fermi level is 27.61 states/eV/cell.

The space group is R-3m (No. 166, hexagonal axes) and the conventional cell measures 9.4581, 9.4581 and 24.1548 Å, with angles of 90.00, 90.00 and 120.00 degrees. The inequivalent atoms are Ac at (0.0000, 0.5000, 0.0000), Er at (0.0000, 0.0000, 0.0000), Tl at (0.0000, 0.5000, 0.5000), Te at (0.0000, 0.0000, 0.2555) and Te at (0.0225, 0.5112, 0.7399).


The following is a DFT calculation (PBE) of Sr3TaCd after structural relaxation.

The value obtained for the energy above the lowest structure with this stoichiometry is 126 meV/atom. Its density of states at the Fermi level is 8.87 states/eV/cell.

The space group is Pm-3m (No. 221) and the conventional cell measures 6.105, 6.105 and 6.105 Å, with angles of 90.00, 90.00 and 90.00 degrees. The inequivalent atoms are Sr at (0.000, 0.000, 0.500), Ta at (0.500, 0.500, 0.500) and Cd at (0.000, 0.000, 0.000).


The following is a DFT calculation (PBE) of Sb2Pd3Pt2 after structural relaxation.

The value obtained for the formation energy without anion corrections is -7.7 kcal/mol of atoms. Its density of states at the Fermi level is 5.27 states/eV/cell.

The space group is C2/m (No. 12) and the conventional cell measures 8.902, 3.897 and 8.333 Å, with angles of 90.00, 118.54 and 90.00 degrees. The inequivalent atoms are Sb at (0.012, 0.000, 0.255), Pd at (0.000, 0.500, 0.000), Pd at (0.228, 0.000, 0.612) and Pt at (0.228, 0.500, 0.857).


The following is a DFT calculation (PBE) of PrCl2 after structural relaxation.

The value obtained for the formation energy without anion corrections is -45.2 kcal/mol of atoms. Its density of states at the Fermi level is 14.21 states/eV/cell.

The space group is I4_1/amd (No. 141, origin choice 2) and the conventional cell measures 7.870, 7.870 and 11.183 Å, with angles of 90.00, 90.00 and 90.00 degrees. The inequivalent atoms are Pr at (0.000, 0.000, 0.000) and Cl at (0.000, 0.017, 0.257).


The following is a DFT calculation (PBE) of CrNiCl3 after structural relaxation.

The value obtained for the formation energy without anion corrections is -3.1 kcal/mol of atoms. Its density of states at the Fermi level is 7.10 states/eV/cell.

The space group is Pm-3m (No. 221) and the conventional cell measures 4.648, 4.648 and 4.648 Å, with angles of 90.00, 90.00 and 90.00 degrees. The inequivalent atoms are Cr at (0.000, 0.000, 0.000), Ni at (0.500, 0.500, 0.500) and Cl at (0.000, 0.500, 0.500).


The following is a DFT calculation (PBE) of BeCrSi after structural relaxation.

The value obtained for the formation energy without anion corrections is -3.0 kcal/mol of atoms. Its density of states at the Fermi level is 1.23 states/eV/cell.

The space group is P-6m2 (No. 187) and the conventional cell measures 3.8490, 3.8490 and 2.4634 Å, with angles of 90.00, 90.00 and 120.00 degrees. The inequivalent atoms are Be at (0.0000, 0.0000, 0.0000), Cr at (0.6667, 0.3333, 0.5000) and Si at (0.3333, 0.6667, 0.0000).


Total magnetization per entry: 0.45; 0.00; 0.00; 0.80; 0.00; 0.00; 0.92; 0.00 μB/atom